No. 1
{"formula": "Ce2HfTaN5", "functional": "PBE", "state": "optimized geometry", "cell": [[1.7000, -6.7738, 0.0000], [1.7000, 6.7738, 0.0000], [0.0000, 0.0000, 10.5830]], "species": ["Ce", "Ce", "Ce", "Ce", "Hf", "Hf", "Ta", "Ta", "N", "N", "N", "N", "N", "N", "N", "N", "N", "N"], "fractional_positions": [[0.1104, 0.8896, 0.5000], [0.1453, 0.8547, 0.0935], [0.8547, 0.1453, 0.5935], [0.8896, 0.1104, 0.0000], [0.2193, 0.7807, 0.8137], [0.7807, 0.2193, 0.3137], [0.4764, 0.5236, 0.2702], [0.5236, 0.4764, 0.7702], [0.0547, 0.9453, 0.8605], [0.2778, 0.7222, 0.4584], [0.3174, 0.6826, 0.1867], [0.3755, 0.6245, 0.8084], [0.4917, 0.5083, 0.5878], [0.5083, 0.4917, 0.0878], [0.6245, 0.3755, 0.3084], [0.6826, 0.3174, 0.6867], [0.7222, 0.2778, 0.9584], [0.9453, 0.0547, 0.3605]], "formation_energy_uncorrected_ev_per_atom": -1.46}

---

No. 2
{"formula": "SrSiS2N", "functional": "PBE", "state": "optimized geometry", "cell": [[5.5482, 0.0000, 0.0000], [0.0000, 5.5482, 0.0000], [0.0000, 0.0000, 4.7248]], "species": ["Sr", "Si", "S", "S", "N"], "fractional_positions": [[0.0000, 0.0000, 0.0000], [0.5000, 0.5000, 0.5000], [0.0000, 0.5000, 0.0000], [0.5000, 0.0000, 0.0000], [0.0000, 0.0000, 0.5000]], "formation_energy_uncorrected_ev_per_atom": 1.13, "relative_energy_mev_per_atom": 1756}

---

No. 3
{"formula": "Y8C3S4O", "functional": "PBE", "state": "optimized geometry", "cell": [[3.7000, 2.1362, 6.2996], [-3.7000, 2.1362, 6.2996], [0.0000, -4.2723, 6.2996]], "species": ["Y", "Y", "Y", "Y", "Y", "Y", "Y", "Y", "C", "C", "C", "S", "S", "S", "S", "O"], "fractional_positions": [[0.2314, 0.7411, 0.7411], [0.2386, 0.2386, 0.2386], [0.2589, 0.2589, 0.7686], [0.2589, 0.7686, 0.2589], [0.7411, 0.2314, 0.7411], [0.7411, 0.7411, 0.2314], [0.7614, 0.7614, 0.7614], [0.7686, 0.2589, 0.2589], [0.0000, 0.0000, 0.5000], [0.0000, 0.5000, 0.0000], [0.5000, 0.0000, 0.0000], [0.0000, 0.0000, 0.0000], [0.0000, 0.5000, 0.5000], [0.5000, 0.0000, 0.5000], [0.5000, 0.5000, 0.0000], [0.5000, 0.5000, 0.5000]], "formation_energy_uncorrected_ev_per_atom": -1.61}

---

No. 4
{"formula": "CaPr12Dy7", "functional": "PBE", "state": "optimized geometry", "cell": [[-5.8725, 5.8725, 5.8725], [5.8725, -5.8725, 5.8725], [5.8725, 5.8725, -5.8725]], "species": ["Ca", "Pr", "Pr", "Pr", "Pr", "Pr", "Pr", "Pr", "Pr", "Pr", "Pr", "Pr", "Pr", "Dy", "Dy", "Dy", "Dy", "Dy", "Dy", "Dy"], "fractional_positions": [[0.0000, 0.0000, 0.0000], [0.0000, 0.2590, 0.7410], [0.0000, 0.7410, 0.2590], [0.2590, 0.0000, 0.7410], [0.2590, 0.2590, 0.5181], [0.2590, 0.5181, 0.2590], [0.2590, 0.7410, 0.0000], [0.4819, 0.7410, 0.7410], [0.5181, 0.2590, 0.2590], [0.7410, 0.0000, 0.2590], [0.7410, 0.2590, 0.0000], [0.7410, 0.4819, 0.7410], [0.7410, 0.7410, 0.4819], [0.0000, 0.0000, 0.5000], [0.0000, 0.5000, 0.0000], [0.0000, 0.5000, 0.5000], [0.5000, 0.0000, 0.0000], [0.5000, 0.0000, 0.5000], [0.5000, 0.5000, 0.0000], [0.5000, 0.5000, 0.5000]], "formation_energy_kj_per_mol_fu": 1209}

---

No. 5
{"formula": "PrSm2Tm5", "functional": "PBE", "state": "optimized geometry", "cell": [[7.1265, 0.0000, 0.0000], [0.0000, 7.1265, 0.0000], [0.0000, 0.0000, 9.9315]], "species": ["Pr", "Pr", "Sm", "Sm", "Sm", "Sm", "Tm", "Tm", "Tm", "Tm", "Tm", "Tm", "Tm", "Tm", "Tm", "Tm"], "fractional_positions": [[0.0000, 0.0000, 0.0000], [0.5000, 0.5000, 0.5000], [0.0000, 0.5000, 0.0000], [0.0000, 0.5000, 0.5000], [0.5000, 0.0000, 0.0000], [0.5000, 0.0000, 0.5000], [0.0000, 0.0000, 0.5000], [0.2500, 0.2500, 0.2500], [0.2500, 0.2500, 0.7500], [0.2500, 0.7500, 0.2500], [0.2500, 0.7500, 0.7500], [0.5000, 0.5000, 0.0000], [0.7500, 0.2500, 0.2500], [0.7500, 0.2500, 0.7500], [0.7500, 0.7500, 0.2500], [0.7500, 0.7500, 0.7500]], "formation_energy_kj_per_mol_fu": 17}

---

No. 6
{"formula": "Zn2BiAs", "functional": "PBE", "state": "optimized geometry", "cell": [[6.9718, 0.0000, 0.0000], [0.0000, 6.9718, 0.0000], [0.0000, 0.0000, 6.9718]], "species": ["Zn", "Zn", "Zn", "Zn", "Zn", "Zn", "Zn", "Zn", "Bi", "Bi", "Bi", "Bi", "As", "As", "As", "As"], "fractional_positions": [[0.2500, 0.2500, 0.2500], [0.2500, 0.2500, 0.7500], [0.2500, 0.7500, 0.2500], [0.2500, 0.7500, 0.7500], [0.7500, 0.2500, 0.2500], [0.7500, 0.2500, 0.7500], [0.7500, 0.7500, 0.2500], [0.7500, 0.7500, 0.7500], [0.0000, 0.0000, 0.0000], [0.0000, 0.5000, 0.5000], [0.5000, 0.0000, 0.5000], [0.5000, 0.5000, 0.0000], [0.0000, 0.0000, 0.5000], [0.0000, 0.5000, 0.0000], [0.5000, 0.0000, 0.0000], [0.5000, 0.5000, 0.5000]], "formation_energy_kj_per_mol_fu": 115}

---

Short version: calculated total energy = -9.8264, -3.6035, -7.9093, -3.9522, -4.5496, -2.4724 eV/atom, in the order given.